Entry 1:
12
Lattice="-1.707 1.707 14.932 1.707 -1.707 14.932 1.707 1.707 -14.932" Properties=species:S:1:pos:R:3 comment="Ti2GaNi7Sn2, optimized geometry, DFT PBE" volume_a3_per_cell=174.1 formation_energy_ev_per_atom=-0.116 magmom_total_mub_per_fu=0.0 energy_ev_per_fu=-68.7 spacegroup="I4/mmm, No. 139" pbc="T T T"
Ti 0.000 0.000 3.723
Ti 0.000 0.000 26.141
Ga 0.000 0.000 14.932
Ni 0.000 0.000 0.000
Ni 1.707 0.000 1.948
Ni 0.000 0.000 6.757
Ni 1.707 0.000 12.984
Ni 0.000 1.707 1.948
Ni 0.000 0.000 23.107
Ni 0.000 1.707 12.984
Sn 0.000 0.000 9.346
Sn 0.000 0.000 20.518

***

Entry 2:
8
Lattice="-3.593 3.593 2.812 3.593 -3.593 2.812 3.593 3.593 -2.812" Properties=species:S:1:pos:R:3 comment="TiAl2Ag, optimized geometry, DFT PBE" volume_a3_per_cell=145.2 formation_energy_ev_per_atom=0.155 magmom_total_mub_per_fu=0.0 energy_ev_per_fu=-17.6 spacegroup="I-42d, No. 122" pbc="T T T"
Ti 0.000 0.000 0.000
Ti 0.000 3.593 1.406
Al 1.797 -1.658 2.109
Al 1.935 1.797 0.703
Al 1.797 5.251 -0.703
Al 1.658 1.797 3.515
Ag 3.593 0.000 1.406
Ag 0.000 0.000 2.812

***

Entry 3:
8
Lattice="-4.345 4.345 3.142 4.345 -4.345 3.142 4.345 4.345 -3.142" Properties=species:S:1:pos:R:3 comment="Y2ZrBi, optimized geometry, DFT PBE" volume_a3_per_cell=237.2 formation_energy_ev_per_atom=0.154 magmom_total_mub_per_fu=0.0 energy_ev_per_fu=-24.7 spacegroup="I-42d, No. 122" pbc="T T T"
Y 6.517 2.056 -0.785
Y 2.056 2.172 0.785
Y -2.172 2.289 2.356
Y 2.289 2.172 3.927
Zr 4.345 0.000 1.571
Zr 0.000 0.000 3.142
Bi 0.000 0.000 0.000
Bi 0.000 4.345 1.571

***

Entry 4:
10
Lattice="0.000 4.854 4.854 4.854 0.000 4.854 4.854 4.854 0.000" Properties=species:S:1:pos:R:3 comment="Cs2ReAgF6, optimized geometry, DFT PBE" volume_a3_per_cell=228.8 magmom_total_mub_per_fu=4.0 energy_ev_per_fu=-48.2 e_form_raw_ev_per_atom=-1.9958 spacegroup="Fm-3m, No. 225" pbc="T T T"
Cs 2.427 2.427 2.427
Cs 7.281 7.281 7.281
Re 0.000 0.000 0.000
Ag 4.854 4.854 4.854
F 4.854 4.854 1.993
F 4.854 1.993 4.854
F 7.715 4.854 4.854
F 1.993 4.854 4.854
F 4.854 7.715 4.854
F 4.854 4.854 7.715

***

Entry 5:
80
Lattice="-7.073 7.073 7.073 7.073 -7.073 7.073 7.073 7.073 -7.073" Properties=species:S:1:pos:R:3 comment="Cd12H5Rh3, optimized geometry, DFT PBE" volume_a3_per_cell=1415.3 magmom_total_mub_per_fu=0.0 energy_ev_per_fu=-46.1 spacegroup="Ia-3d, No. 230" pbc="T T T"
Cd 2.140 -0.476 0.894
Cd 8.469 4.431 -4.013
Cd 6.597 -0.894 2.140
Cd 11.086 -1.396 2.642
Cd 9.213 0.476 0.894
Cd 8.469 -2.642 4.013
Cd 0.894 2.140 -0.476
Cd 9.715 3.060 -1.396
Cd 4.431 4.013 -1.396
Cd 6.179 2.140 0.476
Cd -0.476 0.894 2.140
Cd 4.013 -1.396 4.431
Cd 6.597 6.179 -2.140
Cd 4.013 1.396 2.642
Cd 6.179 -2.140 6.597
Cd 4.431 -4.013 8.469
Cd 2.642 4.013 1.396
Cd 7.967 4.933 0.476
Cd 2.140 6.597 -0.894
Cd 8.469 2.642 3.060
Cd 4.013 8.469 -2.642
Cd 6.597 0.894 4.933
Cd 1.396 2.642 4.013
Cd 2.140 0.476 6.179
Cd 4.933 6.597 0.894
Cd 5.676 4.431 3.060
Cd 0.476 6.179 2.140
Cd 3.060 -1.396 9.715
Cd -1.396 4.431 4.013
Cd 4.933 0.476 7.967
Cd -0.894 2.140 6.597
Cd 4.431 3.060 5.676
Cd 2.642 11.086 -1.396
Cd 0.894 9.213 0.476
Cd 3.060 5.676 4.431
Cd 0.476 0.894 9.213
Cd 3.060 8.469 2.642
Cd 7.549 6.179 4.933
Cd 0.894 4.933 6.597
Cd 2.642 3.060 8.469
Cd -2.642 4.013 8.469
Cd 6.179 4.933 7.549
Cd -1.396 9.715 3.060
Cd -2.140 6.597 6.179
Cd -4.013 8.469 4.431
Cd 0.476 7.967 4.933
Cd -1.396 2.642 11.086
Cd 4.933 7.549 6.179
H 0.000 0.000 0.000
H 3.536 3.536 -3.536
H 3.536 -3.536 3.536
H 7.073 0.000 0.000
H 10.609 1.768 0.000
H 7.073 -3.536 5.305
H 5.305 7.073 -3.536
H 5.305 0.000 3.536
H 3.536 5.305 0.000
H 7.073 3.536 1.768
H -3.536 3.536 3.536
H 0.000 7.073 0.000
H 0.000 0.000 7.073
H 3.536 3.536 3.536
H 0.000 3.536 5.305
H 3.536 1.768 7.073
H 1.768 7.073 3.536
H 1.768 0.000 10.609
H 0.000 10.609 1.768
H -3.536 5.305 7.073
Rh 3.536 1.768 0.000
Rh 7.073 3.536 -1.768
Rh 1.768 0.000 3.536
Rh 8.841 0.000 3.536
Rh 0.000 3.536 1.768
Rh 3.536 -1.768 7.073
Rh 3.536 8.841 0.000
Rh 7.073 3.536 5.305
Rh -1.768 7.073 3.536
Rh 5.305 7.073 3.536
Rh 0.000 3.536 8.841
Rh 3.536 5.305 7.073

***

Entry 6:
6
Lattice="4.141 0.000 0.000 -2.070 3.586 0.000 0.000 0.000 5.297" Properties=species:S:1:pos:R:3 comment="PaCo3Ni2, optimized geometry, DFT PBE" volume_a3_per_cell=78.7 formation_energy_ev_per_atom=-0.148 magmom_total_mub_per_fu=2.6 energy_ev_per_fu=-43.3 spacegroup="P-3m1, No. 164" pbc="T T T"
Pa 0.000 0.000 0.000
Co 0.000 0.000 2.649
Co 0.000 2.391 1.441
Co 2.070 1.195 3.856
Ni 0.000 2.391 3.794
Ni 2.070 1.195 1.504

***

Entry 7:
8
Lattice="-2.156 2.156 9.231 2.156 -2.156 9.231 2.156 2.156 -9.231" Properties=species:S:1:pos:R:3 comment="CaV2As, optimized geometry, DFT PBE" volume_a3_per_cell=171.6 formation_energy_ev_per_atom=0.177 magmom_total_mub_per_fu=0.0 energy_ev_per_fu=-24.2 spacegroup="I-42d, No. 122" pbc="T T T"
Ca 0.000 0.000 0.000
Ca 0.000 2.156 4.615
V 1.078 -0.095 6.923
V 2.061 1.078 2.308
V 1.078 2.251 -2.308
V 0.095 1.078 11.538
As 2.156 0.000 4.615
As 0.000 0.000 9.231

***

Entry 8:
15
Lattice="7.236 -4.174 0.000 7.236 4.174 0.000 -4.826 0.000 7.984" Properties=species:S:1:pos:R:3 comment="K3ScBi3Se8, optimized geometry, DFT PBE" volume_a3_per_cell=482.2 magmom_total_mub_per_fu=0.0 energy_ev_per_fu=-62.4 e_form_raw_ev_per_atom=-0.8863 spacegroup="C2/m, No. 12" pbc="T T T"
K 0.000 0.000 0.000
K 3.618 2.087 0.000
K 3.618 -2.087 0.000
Sc -2.413 0.000 3.992
Bi 1.205 2.087 3.992
Bi 1.205 -2.087 3.992
Bi 4.824 0.000 3.992
Se -0.153 0.000 5.567
Se 3.695 2.219 5.566
Se 5.953 2.219 2.418
Se 2.412 0.000 2.289
Se 7.235 0.000 5.695
Se 3.695 -2.219 5.566
Se 5.953 -2.219 2.418
Se 9.801 0.000 2.416